This record from Alexandria via LeMat-Bulk describes crystalline PuCdCuO4 at its relaxed geometry. The functional is PBE. Values from VASP.

Cell and atoms, written as Quantum ESPRESSO input:
```
&SYSTEM
  ibrav = 0, nat = 14, ntyp = 4
/
ATOMIC_SPECIES
Pu 244.00 Pu.upf
O 16.00 O.upf
Cu 63.55 Cu.upf
Cd 112.41 Cd.upf
ATOMIC_POSITIONS angstrom
Pu 3.0882 0.0000 0.0000
Pu 3.0882 -1.7715 2.9133
O 0.0000 0.6576 3.9977
O 1.7235 -2.4501 4.4960
O 1.3647 4.7857 0.9148
O 3.0882 1.6779 1.4131
O 3.0882 0.2551 3.7529
O -1.3647 4.7857 0.9148
O 4.4530 -2.4501 4.4960
O 0.0000 2.0804 1.6578
Cu 1.5441 1.1678 2.7054
Cu -1.5441 1.1678 2.7054
Cd 0.0000 -1.2690 5.2142
Cd 3.0882 3.6046 0.1966
CELL_PARAMETERS angstrom
6.1765 0.0000 0.0000
-3.0882 5.8786 -0.4159
0.0000 -3.5431 5.8267
```

Computed properties:
SG ... Imma, No. 74
Energy relative to the elements, uncorrected ... -1.691 eV/atom
Size of the total moment ... 5.99 Bohr magnetons per cell